A relaxed structure of NdYGe2Pd2. Source: the Alexandria database, functional GGA-PBE.

POSCAR file:
```
NdYGe2Pd2
1.0
4.453 0.000 0.000
-2.227 3.857 0.000
0.000 0.000 7.294
Nd Y Ge Pd
1 1 2 2
direct
0.000 0.000 0.000 Nd
0.000 0.000 0.500 Y
0.333 0.667 0.263 Ge
0.667 0.333 0.737 Ge
0.333 0.667 0.716 Pd
0.667 0.333 0.284 Pd
```

- Volume: 125 Å³ per cell
- Energy relative to the elements: -923.7 meV/atom
- Raw total energy: -36.4 eV for the cell shown
- Spin magnetization: 0.0 Bohr magnetons per cell